No. 1
## Tl2Zn2Sn (PBE)

Data for Tl2Zn2Sn after structural relaxation.

Structure (extended XYZ):
```
10
Lattice="7.1597 0.0000 0.0000 0.0000 7.1597 0.0000 0.0000 0.0000 4.8917" Properties=species:S:1:pos:R:3 pbc="T T T"
Zn 6.2585 4.4810 0.0000
Zn 0.9012 2.6786 0.0000
Zn 4.4810 0.9012 0.0000
Zn 2.6786 6.2585 0.0000
Sn 3.5798 3.5798 0.0000
Sn 0.0000 0.0000 0.0000
Tl 2.3203 1.2595 2.4459
Tl 1.2595 4.8393 2.4459
Tl 5.9001 2.3203 2.4459
Tl 4.8393 5.9001 2.4459
```

Results
ΔE to the lowest computed polymorph, meV/atom: 0
Space group: P4/mbm (127)
Fermi-level density of states, states/eV/atom: 0.2836


No. 2
## ZrPd (PBE)

Data for ZrPd after structural relaxation.

Structure (extended XYZ):
```
12
Lattice="7.7034 0.0000 0.0000 -3.8517 6.6713 0.0000 0.0000 0.0000 4.9212" Properties=species:S:1:pos:R:3 pbc="T T T"
Zr 3.0393 0.5373 3.6909
Zr 1.0543 2.9008 1.2303
Zr -1.8667 4.3079 1.2303
Zr 0.8124 6.1340 1.2303
Zr 2.7974 3.7706 3.6909
Zr 5.7184 2.3634 3.6909
Pd 6.6239 1.3512 1.2303
Pd 0.6304 1.6105 3.6909
Pd -2.7722 5.3201 3.6909
Pd 2.1418 6.4121 3.6909
Pd 3.2213 5.0609 1.2303
Pd 1.7099 0.2593 1.2303
```

Results
Electronic total energy, eV per atom: -7.053
Space group: P6_3/m (176)
Fermi-level density of states, states/eV/atom: 1.0572


No. 3
## La6Au2O (PBE)

Data for La6Au2O after structural relaxation.

Structure (extended XYZ):
```
18
Lattice="6.7455 0.0000 -0.1184 0.0000 7.4772 0.0000 0.1538 0.0000 10.5544" Properties=species:S:1:pos:R:3 pbc="T T T"
Au 6.2896 2.9649 2.6032
Au 0.6098 4.5123 7.8329
Au 3.9056 6.7035 2.4965
Au 2.9937 0.7737 7.9396
La 0.9428 0.1960 2.7487
La 5.9566 7.2812 7.6874
La 1.2105 2.2181 5.8531
La 2.3930 5.9567 9.9194
La 5.5597 5.0624 0.4551
La 5.6888 5.2591 4.5830
La 4.5064 1.5205 0.5167
La 2.5069 3.9346 2.4694
La 2.2638 6.1534 5.7915
La 1.3397 2.4148 9.9809
La 4.6355 1.3238 4.6445
La 4.3924 3.5426 7.9667
O 0.0769 0.0000 5.2772
O 3.3728 3.7386 -0.0592
```

Results
Electronic total energy, eV per atom: -5.540
Space group: P2_1/c (14)
Fermi-level density of states, states/eV/atom: 1.0434


No. 4
## NpAl3Au6 (PBE)

Data for NpAl3Au6 after structural relaxation.

Structure (extended XYZ):
```
20
Lattice="6.9650 0.0000 0.0000 0.0000 6.6140 -2.7636 0.0000 0.2426 8.1128" Properties=species:S:1:pos:R:3 pbc="T T T"
Au 6.0250 1.4839 5.4364
Au 1.4038 6.1197 2.6762
Au 4.8863 4.1652 5.3475
Au 4.4225 4.6697 -0.0018
Au 2.0787 2.6914 0.0016
Au 5.5612 0.7369 2.6729
Au 0.9400 5.3726 -0.0872
Au 2.5425 2.1869 5.3510
Au 3.9849 6.4103 3.9776
Au 2.9801 0.4463 1.3716
Au 6.4627 2.9820 1.3030
Au 0.5024 3.8746 4.0461
Al 4.5129 2.0172 -0.4558
Al 5.9346 5.4455 2.2188
Al 3.4825 0.1213 4.0564
Al 2.4521 4.8394 5.8049
Al 0.0000 3.3070 -1.3818
Al 1.0304 1.4111 3.1303
Np 3.4825 3.4283 2.6746
Np 0.0000 0.0000 0.0000
```

Results
Electronic total energy, eV per atom: -4.655
Space group: P2_1/c (14)
Fermi-level density of states, states/eV/atom: 1.1354


No. 5
## Er6HgTe2 (PBE)

Data for Er6HgTe2 after structural relaxation.

Structure (extended XYZ):
```
18
Lattice="6.9387 0.0000 0.0000 0.0000 6.9387 0.0000 0.0000 0.0000 12.8468" Properties=species:S:1:pos:R:3 pbc="T T T"
Er 2.0752 2.0752 4.2876
Er 4.8635 4.8635 4.2876
Er 2.0752 2.0752 8.5592
Er 5.5446 1.3941 10.7110
Er 1.3941 5.5446 2.1358
Er 5.5446 1.3941 2.1358
Er 1.3941 5.5446 10.7110
Er 4.9566 4.9566 0.0000
Er 1.9822 1.9822 0.0000
Er 5.4515 1.4872 6.4234
Er 4.8635 4.8635 8.5592
Er 1.4872 5.4515 6.4234
Te 0.0000 0.0000 8.5026
Te 0.0000 0.0000 4.3441
Te 3.4694 3.4694 10.7675
Te 3.4694 3.4694 2.0793
Hg 0.0000 0.0000 0.0000
Hg 3.4694 3.4694 6.4234
```

Results
Electronic total energy, eV per atom: -4.045
Space group: P4_2/mnm (136)
Fermi-level density of states, states/eV/atom: 1.3008


No. 6
## Dy3SiH (PBE)

Data for Dy3SiH after structural relaxation.

Structure (extended XYZ):
```
10
Lattice="3.9180 0.0000 0.0000 0.0000 7.0672 0.3818 0.0000 -1.1819 7.8454" Properties=species:S:1:pos:R:3 pbc="T T T"
Si 0.9795 2.3016 1.9106
Si 2.9385 3.5836 6.3166
Dy 2.9385 3.9450 3.1845
Dy 0.9795 5.1468 0.6375
Dy 2.9385 0.7385 7.5896
Dy 2.9385 0.2013 2.6833
Dy 0.9795 1.9402 5.0426
Dy 0.9795 5.6840 5.5438
H 2.9385 0.3029 5.1047
H 0.9796 5.5824 3.1225
```

Results
Electronic total energy, eV per atom: -4.916
Space group: P2_1/m (11)
Fermi-level density of states, states/eV/atom: 0.9452


No. 7
## Pr6TmMg (PBE)

Data for Pr6TmMg after structural relaxation.

Structure (extended XYZ):
```
8
Lattice="5.6677 1.8898 -2.6262 4.4336 7.5341 -0.5558 1.3755 3.6486 8.1057" Properties=species:S:1:pos:R:3 pbc="T T T"
Pr 3.5830 5.5833 5.4182
Pr 9.4695 10.8827 2.7219
Pr 7.2347 9.1960 5.0455
Pr 2.0073 2.1898 2.2018
Pr 7.8938 7.4892 -0.4945
Pr 4.2421 3.8766 -0.1219
Mg 0.0000 0.0000 0.0000
Tm 5.7384 6.5363 2.4618
```

Results
ΔE to the lowest computed polymorph, meV/atom: 77
Space group: P-1 (2)
Fermi-level density of states, states/eV/atom: 1.4831


No. 8
## Mg2AlTc (PBE)

Data for Mg2AlTc after structural relaxation.

Structure (extended XYZ):
```
4
Lattice="-2.4932 -1.7390 1.2922 -0.9580 -0.8603 -3.0062 3.8598 -5.3173 0.2915" Properties=species:S:1:pos:R:3 pbc="T T T"
Mg -0.6194 -2.8237 -0.7735
Mg 3.7792 -5.2063 0.2854
Al 0.9788 -5.0253 -0.6528
Tc 2.0595 -2.8372 0.1555
```

Results
Electronic total energy, eV per atom: -4.343
Space group: Pmm2 (25)
Fermi-level density of states, states/eV/atom: 0.6220


No. 9
## Li2In2SnHg2 (PBE)

Data for Li2In2SnHg2 after structural relaxation.

Structure (extended XYZ):
```
7
Lattice="-2.0147 -2.5683 -3.6139 -2.0667 -4.3095 0.9337 -8.4206 1.3804 0.4322" Properties=species:S:1:pos:R:3 pbc="T T T"
In -2.6586 -1.6172 -0.6497
In -9.8433 -3.8801 -1.5984
Li -5.6216 -0.0757 -0.0934
Li -6.8804 -5.4216 -2.1547
Hg -4.9538 -3.4235 -1.3676
Hg -7.5481 -2.0738 -0.8805
Sn 0.0000 0.0000 0.0000
```

Results
Electronic total energy, eV per atom: -2.127
Space group: R-3m (166)
Fermi-level density of states, states/eV/atom: 0.3461


No. 10
## TbZn2Cd2Au2 (PBE)

Data for TbZn2Cd2Au2 after structural relaxation.

Structure (extended XYZ):
```
7
Lattice="4.5816 0.0000 0.0000 2.2908 3.9677 0.0000 2.2908 1.3226 7.9300" Properties=species:S:1:pos:R:3 pbc="T T T"
Tb 0.0000 0.0000 0.0000
Cd 6.8723 3.9677 3.2227
Cd 2.2908 1.3226 4.7072
Zn 4.5816 2.6452 6.2762
Zn 4.5816 2.6452 1.6538
Au 2.2908 1.3226 1.7206
Au 6.8723 3.9677 6.2094
```

Results
Electronic total energy, eV per atom: -2.625
Space group: R-3m (166)
Fermi-level density of states, states/eV/atom: 0.4359


No. 11
## NdYMgAg (PBE)

Data for NdYMgAg after structural relaxation.

Structure (extended XYZ):
```
4
Lattice="5.3351 0.0000 0.0000 2.6676 4.6203 0.0000 2.6676 1.5401 4.3561" Properties=species:S:1:pos:R:3 pbc="T T T"
Y 8.0027 4.6203 3.2671
Nd 2.6676 1.5401 1.0890
Ag 0.0000 0.0000 0.0000
Mg 5.3351 3.0802 2.1781
```

Results
ΔE to the lowest computed polymorph, meV/atom: 43
Space group: F-43m (216)
Fermi-level density of states, states/eV/atom: 1.1555


No. 12
## La2SmHoTm5 (PBE)

Data for La2SmHoTm5 after structural relaxation.

Structure (extended XYZ):
```
18
Lattice="8.5674 0.0000 0.0000 0.0000 8.5674 0.0000 -4.2837 -4.2837 7.8727" Properties=species:S:1:pos:R:3 pbc="T T T"
Tm 6.7242 2.4405 2.2406
Tm 0.0000 0.0000 0.0000
Tm 2.4405 -1.8432 5.6321
Tm 6.1269 6.7242 2.2406
Tm 1.8432 6.1269 2.2406
Tm 1.8432 2.4405 5.6321
Tm 4.2837 4.2837 0.0000
Tm -1.8432 -2.4405 5.6321
Tm 2.4405 1.8432 2.2406
Tm -2.4405 1.8432 5.6321
La 3.2710 7.5547 0.0000
La 7.5547 5.2964 0.0000
La 1.0127 3.2710 0.0000
La 5.2964 1.0127 0.0000
Ho 4.2837 4.2837 3.9363
Ho 0.0000 0.0000 3.9363
Sm 4.2837 0.0000 3.9363
Sm 0.0000 4.2837 3.9363
```

Results
Electronic total energy, eV per atom: -4.354
Space group: I4/mcm (140)
Fermi-level density of states, states/eV/atom: 1.2964